{"formula": "CoPdF2", "functional": "PBE+U", "state": "optimized geometry", "lattice_angstrom": [[1.702, 0.000, 8.740], [-0.851, 1.474, 8.740], [-0.851, -1.474, 8.740]], "species": ["F", "Co", "F", "Pd"], "fractional_positions": [[0.875, 0.875, 0.875], [0.500, 0.500, 0.500], [0.125, 0.125, 0.125], [0.000, 0.000, 0.000]], "e_above_lowest_polymorph_mev_per_atom": 0, "m_tot_mub_per_atom": 0.83, "crystal_system": "trigonal", "volume_a3_per_cell": 66, "dos_ef_per_ev_cell": 3.187}